{"formula": "Ac2Co3Ge5", "functional": "PBE", "state": "optimized geometry", "delta_e_f_ev_per_atom": -0.503, "rho_g_cm3": 8.8, "spacegroup": "Ibam, No. 72", "lattice": [[6.098, 0.000, 0.000], [3.049, 7.929, 0.196], [3.049, 1.416, 7.804]], "species": ["Co", "Co", "Co", "Co", "Co", "Co", "Ge", "Ge", "Ge", "Ge", "Ge", "Ge", "Ge", "Ge", "Ge", "Ge", "Ac", "Ac", "Ac", "Ac"], "fractional_positions": [[0.869, 0.746, 0.516], [0.631, 0.484, 0.254], [0.131, 0.254, 0.484], [0.250, 0.000, 0.000], [0.750, 0.000, 0.000], [0.369, 0.516, 0.746], [0.105, 0.038, 0.751], [0.999, 0.251, 0.251], [0.001, 0.749, 0.749], [0.750, 0.500, 0.500], [0.499, 0.251, 0.251], [0.605, 0.751, 0.038], [0.395, 0.249, 0.962], [0.250, 0.500, 0.500], [0.895, 0.962, 0.249], [0.501, 0.749, 0.749], [0.630, 0.124, 0.616], [0.870, 0.384, 0.876], [0.130, 0.616, 0.124], [0.370, 0.876, 0.384]]}